1.
VASP calculation (PBE) on a relaxed CdTe2 crystal.

Output
Raw formation energy ... -0.042 eV per formula unit

```
3
Lattice="6.385 0.009 0.006 5.006 3.963 0.006 5.006 1.746 3.558" Properties=species:S:1:pos:R:3 pbc="T T T"
Te 12.548 4.376 2.732
Te 3.848 1.342 0.838
Cd 0.000 0.000 0.000
```

2.
VASP calculation (PBE) on a relaxed SmThSbAs crystal.

Output
Raw formation energy ... -5.014 eV per formula unit

```
4
Lattice="-2.857 -1.097 -3.089 -0.956 -4.186 -0.689 -6.594 -1.331 3.513" Properties=species:S:1:pos:R:3 pbc="T T T"
As -3.488 -1.582 0.728
Sm -4.805 -5.203 -2.889
Sb -8.708 -4.888 0.610
Th -5.994 -3.244 0.575
```

3.
VASP calculation (PBE) on a relaxed SrTm4ScSe8 crystal.

Output
Raw formation energy ... -24.320 eV per formula unit

```
14
Lattice="8.437 0.000 0.000 4.218 7.307 0.000 4.218 2.436 6.763" Properties=species:S:1:pos:R:3 pbc="T T T"
Tm 2.149 1.241 3.393
Tm 6.288 1.241 3.393
Tm 4.218 4.825 3.393
Tm 8.437 4.871 0.877
Sr 8.437 4.871 5.830
Se 8.437 2.265 1.717
Se 12.655 7.307 4.923
Se 10.694 6.174 1.717
Se 4.218 2.436 1.945
Se 6.049 3.492 5.032
Se 6.180 6.174 1.717
Se 8.437 7.629 5.032
Se 10.825 3.492 5.032
Sc 4.218 2.436 6.723
```

4.
VASP calculation (PBE) on a relaxed BiOsS2 crystal.

Output
Raw formation energy ... 0.974 eV per formula unit

```
8
Lattice="-6.026 1.857 1.408 -2.122 -5.987 -1.185 -3.405 -3.152 4.407" Properties=species:S:1:pos:R:3 pbc="T T T"
S -4.380 -0.531 1.716
S -9.506 -5.478 3.599
S -3.433 -4.143 0.655
S -5.786 -4.412 3.290
Bi 0.000 0.000 0.000
Bi -6.753 -1.680 2.964
Os -4.074 -2.065 0.112
Os -4.801 -5.602 1.667
```

5.
VASP calculation (PBE) on a relaxed Ti2MnBiIr crystal.

Output
E_form ... 713.4 meV per atom

```
5
Lattice="4.765 0.000 0.000 0.000 5.402 0.000 0.000 0.000 4.765" Properties=species:S:1:pos:R:3 pbc="T T T"
Ti 2.382 0.000 0.000
Ti 0.000 0.000 2.382
Bi 0.000 2.701 0.000
Ir 0.000 0.000 0.000
Mn 2.382 2.701 2.382
```

6.
VASP calculation (PBE) on a relaxed ZnRe2WBr crystal.

Output
Raw formation energy ... 12.881 eV per formula unit

```
5
Lattice="4.601 0.000 0.000 0.000 4.635 0.000 0.000 0.000 4.601" Properties=species:S:1:pos:R:3 pbc="T T T"
Re 0.000 0.000 2.300
Re 2.300 0.000 0.000
W 0.000 2.318 0.000
Zn 0.000 0.000 0.000
Br 2.300 2.318 2.300
```

7.
VASP calculation (PBE) on a relaxed SiBIO2 crystal.

Output
Raw formation energy ... 2.870 eV per formula unit
Energy relative to the lowest polymorph listed for this composition ... 19.46 kcal/mol of atoms

```
5
Lattice="-2.934 1.707 -1.493 0.806 -1.497 -3.296 -2.647 -3.661 1.015" Properties=species:S:1:pos:R:3 pbc="T T T"
O 0.403 -0.748 -1.648
O -1.467 0.853 -0.747
Si -2.387 -1.726 -1.887
I -1.323 -1.831 0.508
B 0.000 0.000 0.000
```

8.
VASP calculation (PBE) on a relaxed VTc2GePt crystal.

Output
E_form ... 1147.2 meV per atom

```
5
Lattice="-0.151 4.124 -1.728 -1.775 -1.617 -3.704 -4.093 0.568 1.714" Properties=species:S:1:pos:R:3 pbc="T T T"
Tc -0.076 2.062 -0.864
Tc -2.047 0.284 0.857
Ge 0.000 0.000 0.000
Pt -3.010 1.537 -1.859
V -0.888 -0.809 -1.852
```

The evaluated uncorrected energy for the records listed, in turn: -2.413; -6.481; -5.578; -5.598; -6.827; -5.583; -4.139; -6.955 eV/atom.
The evaluated magnetic moment for the records listed, in turn: 0.0; 0.0; 0.0; 0.0; 2.6; 0.0; 0.0; 0.0 μB/f.u..